Record 1
Compound: AcDy3Th
Source: Alexandria via LeMat-Bulk
Functional: PBE
Structure: relaxed

Cell: 6.9118 6.9118 13.9840 Å, 92.35 92.35 30.94°
Fractional positions:
Ac1 0.1582 0.1582 0.4145
Ac2 0.8418 0.8418 0.5855
Dy1 0.0314 0.0314 0.1744
Dy2 0.2337 0.2337 0.7954
Dy3 0.4233 0.4233 0.3697
Dy4 0.5767 0.5767 0.6303
Dy5 0.7663 0.7663 0.2046
Dy6 0.9686 0.9686 0.8256
Th1 0.3657 0.3657 0.0175
Th2 0.6343 0.6343 0.9825

energy of formation from the pure elements	0.0543	eV/atom
density of states at the Fermi level	14.290	states/eV per cell
SG	C2/m, No. 12
raw total energy	-5.013	eV/atom
mass density	9160	kg/m3

***

Record 2
Compound: PmHo5Sc2
Source: Alexandria via LeMat-Bulk
Functional: PBE
Structure: relaxed

Cell: 11.2348 12.0705 7.0020 Å, 90.00 90.00 90.00°
Fractional positions:
Pm1 0.2471 0.0799 0.0000
Pm2 0.2529 0.5799 0.0000
Pm3 0.7471 0.4201 0.0000
Pm4 0.7529 0.9201 0.0000
Ho1 0.0000 0.5000 0.2544
Ho2 0.0000 0.5000 0.7456
Ho3 0.0012 0.2460 0.5000
Ho4 0.0005 0.2472 0.0000
Ho5 0.2487 0.8331 0.2545
Ho6 0.2487 0.8331 0.7455
Ho7 0.2513 0.3331 0.2545
Ho8 0.2513 0.3331 0.7455
Ho9 0.4988 0.7460 0.5000
Ho10 0.4995 0.7472 0.0000
Ho11 0.5000 0.0000 0.2544
Ho12 0.5000 0.0000 0.7456
Ho13 0.5005 0.2528 0.0000
Ho14 0.5012 0.2540 0.5000
Ho15 0.7487 0.6669 0.2545
Ho16 0.7487 0.6669 0.7455
Ho17 0.7513 0.1669 0.2545
Ho18 0.7513 0.1669 0.7455
Ho19 0.9995 0.7528 0.0000
Ho20 0.9988 0.7540 0.5000
Sc1 0.0000 0.0000 0.2567
Sc2 0.0000 0.0000 0.7433
Sc3 0.2465 0.0832 0.5000
Sc4 0.2535 0.5832 0.5000
Sc5 0.5000 0.5000 0.2567
Sc6 0.5000 0.5000 0.7433
Sc7 0.7465 0.4168 0.5000
Sc8 0.7535 0.9168 0.5000

energy of formation from the pure elements	0.0300	eV/atom
density of states at the Fermi level	46.018	states/eV per cell
SG	Pbam, No. 55
raw total energy	-5.008	eV/atom
mass density	7412	kg/m3

***

Record 3
Compound: TlCr2Ir
Source: Alexandria via LeMat-Bulk
Functional: PBE
Structure: relaxed

Cell: 4.5346 4.5346 4.5346 Å, 60.00 60.00 60.00°
Fractional positions:
Tl1 0.0000 0.0000 0.0000
Cr1 0.2500 0.2500 0.2500
Cr2 0.7500 0.7500 0.7500
Ir1 0.5000 0.5000 0.5000

energy of formation from the pure elements	0.5270	eV/atom
density of states at the Fermi level	5.267	states/eV per cell
SG	Fm-3m, No. 225
raw total energy	-7.092	eV/atom
mass density	12608	kg/m3

***

Record 4
Compound: HPd2Pb2
Source: Alexandria via LeMat-Bulk
Functional: PBE
Structure: relaxed

Cell: 7.9080 7.9080 7.9080 Å, 152.06 152.06 39.93°
Fractional positions:
H1 0.0000 0.0000 0.0000
Pd1 0.2500 0.7500 0.5000
Pd2 0.7500 0.2500 0.5000
Pb1 0.3918 0.3918 0.0000
Pb2 0.6082 0.6082 0.0000

density of states at the Fermi level	2.092	states/eV per cell
SG	I4/mmm, No. 139
raw total energy	-4.014	eV/atom
mass density	9626	kg/m3

***

Record 5
Compound: LiPu2TlBr8
Source: Alexandria via LeMat-Bulk
Functional: PBE
Structure: relaxed

Cell: 6.9356 8.8713 7.1616 Å, 90.00 96.02 90.00°
Fractional positions:
Li1 0.0000 0.0000 0.0000
Pu1 0.5000 0.2424 0.5000
Pu2 0.5000 0.7576 0.5000
Tl1 0.0000 0.5000 0.0000
Br1 0.2419 0.2149 0.1665
Br2 0.2419 0.7851 0.1665
Br3 0.2781 0.0000 0.6461
Br4 0.2848 0.5000 0.6322
Br5 0.7152 0.5000 0.3678
Br6 0.7219 0.0000 0.3539
Br7 0.7581 0.2149 0.8335
Br8 0.7581 0.7851 0.8335

uncorrected formation energy	-1.38	eV per atom
density of states at the Fermi level	24.000	states/eV per cell
SG	P2/m, No. 10
raw total energy	-5.236	eV/atom
mass density	5072	kg/m3

***

Record 6
Compound: Ac3Tl3VSe8
Source: Alexandria via LeMat-Bulk
Functional: PBE
Structure: relaxed

Cell: 9.2272 9.2272 9.2272 Å, 56.59 56.59 56.59°
Fractional positions:
Ac1 0.0000 0.5000 0.5000
Ac2 0.5000 0.0000 0.5000
Ac3 0.5000 0.5000 0.0000
Tl1 0.0000 0.0000 0.5000
Tl2 0.0000 0.5000 0.0000
Tl3 0.5000 0.0000 0.0000
V1 0.0000 0.0000 0.0000
Se1 0.2072 0.2072 0.7819
Se2 0.2072 0.7819 0.2072
Se3 0.2181 0.7928 0.7928
Se4 0.2583 0.2583 0.2583
Se5 0.7417 0.7417 0.7417
Se6 0.7819 0.2072 0.2072
Se7 0.7928 0.2181 0.7928
Se8 0.7928 0.7928 0.2181

uncorrected formation energy	-1.19	eV per atom
density of states at the Fermi level	5.993	states/eV per cell
SG	R-3m, No. 166
raw total energy	-4.947	eV/atom
mass density	6415	kg/m3